No. 1
Density functional theory data (PBE) for an optimized crystal structure of GdDy2NiSn3Pd2.

a b c (Å): 3.900 7.551 7.551
angles (deg): 120.08 90.00 90.00
Sites, in units of the cell vectors:
Gd 0.000 0.000 0.000
Dy 0.000 0.196 0.597
Dy 0.000 0.597 0.196
Ni 0.000 0.597 0.597
Sn 0.500 0.348 0.348
Sn 0.500 0.597 0.847
Sn 0.500 0.847 0.597
Pd 0.500 0.266 0.930
Pd 0.500 0.930 0.266

- Calculated volume: 192.45 Å³ per cell
- Total DFT energy (no corrections): -5.516 eV/atom

---

No. 2
Density functional theory data (PBE) for an optimized crystal structure of GdDy2Si4Ni4.

a b c (Å): 11.881 11.881 11.881
angles (deg): 160.82 160.50 27.49
Sites, in units of the cell vectors:
Gd 0.000 0.000 0.000
Dy 0.351 0.851 0.500
Dy 0.649 0.149 0.500
Si 0.198 0.698 0.500
Si 0.448 0.448 0.000
Si 0.552 0.552 0.000
Si 0.802 0.302 0.500
Ni 0.099 0.599 0.500
Ni 0.249 0.249 0.000
Ni 0.751 0.751 0.000
Ni 0.901 0.401 0.500

- Calculated volume: 183.92 Å³ per cell
- Total DFT energy (no corrections): -6.088 eV/atom

---

No. 3
Density functional theory data (PBE) for an optimized crystal structure of GdDySi4Ni2.

a b c (Å): 3.992 8.425 8.425
angles (deg): 27.62 90.00 90.00
Sites, in units of the cell vectors:
Gd 0.000 0.000 0.000
Dy 0.500 0.211 0.211
Si 0.000 0.355 0.355
Si 0.000 0.646 0.646
Si 0.500 0.566 0.566
Si 0.500 0.855 0.855
Ni 0.000 0.784 0.784
Ni 0.500 0.427 0.427

- Calculated volume: 131.36 Å³ per cell
- Total DFT energy (no corrections): -6.104 eV/atom

---

No. 4
Density functional theory data (PBE) for an optimized crystal structure of Gd2DySi4Ni4.

a b c (Å): 11.939 11.939 11.939
angles (deg): 160.94 160.62 27.31
Sites, in units of the cell vectors:
Gd 0.148 0.148 0.000
Gd 0.852 0.852 0.000
Dy 0.500 0.000 0.500
Si 0.051 0.551 0.500
Si 0.302 0.302 0.000
Si 0.698 0.698 0.000
Si 0.949 0.449 0.500
Ni 0.251 0.751 0.500
Ni 0.402 0.402 0.000
Ni 0.598 0.598 0.000
Ni 0.749 0.249 0.500

- Calculated volume: 184.32 Å³ per cell
- Total DFT energy (no corrections): -6.088 eV/atom

---

No. 5
Density functional theory data (PBE) for an optimized crystal structure of Gd2DyTl3Ni3.

a b c (Å): 3.779 7.577 7.577
angles (deg): 119.98 90.00 90.00
Sites, in units of the cell vectors:
Gd 0.000 0.204 0.796
Gd 0.000 0.796 0.204
Dy 0.000 0.612 0.612
Tl 0.500 0.205 0.465
Tl 0.500 0.465 0.205
Tl 0.500 0.943 0.943
Ni 0.000 0.205 0.205
Ni 0.500 0.538 0.870
Ni 0.500 0.870 0.538

- Calculated volume: 187.89 Å³ per cell
- Total DFT energy (no corrections): -4.541 eV/atom

---

No. 6
Density functional theory data (PBE) for an optimized crystal structure of GdDyO3.

a b c (Å): 4.266 4.266 4.266
angles (deg): 90.00 90.00 90.00
Sites, in units of the cell vectors:
Gd 0.000 0.000 0.000
Dy 0.500 0.500 0.500
O 0.000 0.500 0.500
O 0.500 0.000 0.500
O 0.500 0.500 0.000

- Calculated volume: 77.63 Å³ per cell
- Total DFT energy (no corrections): -7.529 eV/atom